(i)
DFT (GGA-PBE) results for an optimized crystal structure of Te3MoAs.

Calculated values
- Calculated volume: 28.8 Å³ per atom

CIF file:
```
data_Te3MoAs
_space_group_name_H-M_alt 'P m -3 m'
_space_group_IT_number 221
_space_group_name_Hall '-P 4 2 3'
_cell_length_a 5.2399
_cell_length_b 5.2399
_cell_length_c 5.2399
_cell_angle_alpha 90.00
_cell_angle_beta 90.00
_cell_angle_gamma 90.00
loop_
_atom_site_label
_atom_site_type_symbol
_atom_site_fract_x
_atom_site_fract_y
_atom_site_fract_z
Te1 Te 0.0000 0.0000 0.5000
Mo1 Mo 0.0000 0.0000 0.0000
As1 As 0.5000 0.5000 0.5000
```

***

(ii)
DFT (GGA-PBE) results for an optimized crystal structure of Te3MoAs.

Calculated values
- Calculated volume: 31.2 Å³ per atom

CIF file:
```
data_Te3MoAs
_space_group_name_H-M_alt 'P m -3 m'
_space_group_IT_number 221
_space_group_name_Hall '-P 4 2 3'
_cell_length_a 5.3840
_cell_length_b 5.3840
_cell_length_c 5.3840
_cell_angle_alpha 90.00
_cell_angle_beta 90.00
_cell_angle_gamma 90.00
loop_
_atom_site_label
_atom_site_type_symbol
_atom_site_fract_x
_atom_site_fract_y
_atom_site_fract_z
Te1 Te 0.0000 0.0000 0.5000
Mo1 Mo 0.5000 0.5000 0.5000
As1 As 0.0000 0.0000 0.0000
```

***

Relative energies in eV/atom: (i) 0.000; (ii) 0.434